Entry 1:
First-principles (GGA-PBEsol) data for Al5P4 after structural relaxation, as listed in the Alexandria database.

Calculated values
Calculated formation energy: 28 meV per atom
DFT total energy: -4.819 eV per atom

Structure (POSCAR):
```
Al5P4
1.0
-4.736 4.736 1.734
4.736 -4.736 1.734
4.736 4.736 -1.734
Al P
5 4
direct
0.000 0.000 0.000
0.334 0.334 0.669
0.334 0.666 0.000
0.666 0.334 0.000
0.666 0.666 0.331
0.000 0.266 0.266
0.000 0.734 0.734
0.266 0.000 0.266
0.734 0.000 0.734
```

***

Entry 2:
First-principles (GGA-PBEsol) data for SrZn2Co2 after structural relaxation, as listed in the Alexandria database.

Calculated values
Calculated formation energy: 174 meV per atom
E above lowest polymorph: 14 kJ/mol of formula units
DFT total energy: -3.922 eV per atom

Structure (POSCAR):
```
SrZn2Co2
1.0
-1.984 1.984 5.370
1.984 -1.984 5.370
1.984 1.984 -5.370
Sr Zn Co
1 2 2
direct
0.000 0.000 0.000
0.375 0.375 0.000
0.625 0.625 0.000
0.250 0.750 0.500
0.750 0.250 0.500
```

***

Entry 3:
First-principles (GGA-PBEsol) data for CsB6Br6 after structural relaxation, as listed in the Alexandria database.

Calculated values
DFT total energy: -4.869 eV per atom

Structure (POSCAR):
```
CsB6Br6
1.0
4.931 2.847 15.991
-4.931 2.847 15.991
0.000 -5.693 15.991
Cs B Br
4 24 24
direct
0.126 0.126 0.126
0.291 0.291 0.291
0.709 0.709 0.709
0.874 0.874 0.874
0.003 0.855 0.057
0.057 0.003 0.855
0.057 0.818 0.145
0.145 0.057 0.818
0.145 0.943 0.997
0.182 0.855 0.943
0.309 0.532 0.639
0.361 0.691 0.468
0.381 0.587 0.448
0.413 0.552 0.619
0.448 0.381 0.587
0.468 0.361 0.691
0.532 0.639 0.309
0.552 0.619 0.413
0.587 0.448 0.381
0.619 0.413 0.552
0.639 0.309 0.532
0.691 0.468 0.361
0.818 0.145 0.057
0.855 0.057 0.003
0.855 0.943 0.182
0.943 0.182 0.855
0.943 0.997 0.145
0.997 0.145 0.943
0.005 0.691 0.122
0.089 0.566 0.798
0.122 0.005 0.691
0.122 0.612 0.312
0.202 0.911 0.434
0.245 0.685 0.389
0.309 0.878 0.995
0.312 0.122 0.612
0.315 0.611 0.755
0.388 0.688 0.878
0.389 0.245 0.685
0.434 0.202 0.911
0.566 0.798 0.089
0.611 0.755 0.315
0.612 0.312 0.122
0.685 0.389 0.245
0.688 0.878 0.388
0.691 0.122 0.005
0.755 0.315 0.611
0.798 0.089 0.566
0.878 0.388 0.688
0.878 0.995 0.309
0.911 0.434 0.202
0.995 0.309 0.878
```